(1)
## Zr2SiNi2 (PBE-GGA)

Data for an optimized crystal structure of Zr2SiNi2.

a b c (Å): 6.8174 6.8174 6.8174
angles (deg): 149.72 149.72 43.35
Last column: nearest neighbours and their distance in Å.
Atoms (fractional coordinates):
Zr 0.1066 0.1066 0.0000  4 Ni 2.54, 1 Zr 2.70
Zr 0.8934 0.8934 0.0000  4 Ni 2.54, 1 Zr 2.70
Si 0.5000 0.5000 0.0000  8 Zr 2.86
Ni 0.2500 0.7500 0.5000  4 Ni 2.52, 4 Zr 2.54
Ni 0.7500 0.2500 0.5000  4 Ni 2.52, 4 Zr 2.54

Calculated values
Uncorrected energy (eV per atom): -6.7299
Crystal system: tetragonal
Symmetry: I4/mmm, No. 139

(2)
## SmNi3 (PBE-GGA)

Data for an optimized crystal structure of SmNi3.

a b c (Å): 5.7659 5.7659 4.2520
angles (deg): 90.00 90.00 120.00
Last column: nearest neighbours and their distance in Å.
Atoms (fractional coordinates):
Sm 0.3333 0.6667 0.2500  12 Ni 2.86-2.89
Sm 0.6667 0.3333 0.7500  12 Ni 2.86-2.89
Ni 0.1411 0.2821 0.7500  6 Ni 2.44-2.55
Ni 0.1411 0.8589 0.7500  6 Ni 2.44-2.55
Ni 0.2821 0.1411 0.2500  6 Ni 2.44-2.55
Ni 0.7179 0.8589 0.7500  6 Ni 2.44-2.55
Ni 0.8589 0.1411 0.2500  6 Ni 2.44-2.55
Ni 0.8589 0.7179 0.2500  6 Ni 2.44-2.55

Calculated values
E_form (meV/atom): -219.9
Uncorrected energy (eV per atom): -5.5735
Crystal system: hexagonal
Symmetry: P6_3/mmc, No. 194

(3)
## SmNi (PBE-GGA)

Data for an optimized crystal structure of SmNi.

a b c (Å): 3.9645 3.9645 3.9645
angles (deg): 60.00 60.00 60.00
Last column: nearest neighbours and their distance in Å.
Atoms (fractional coordinates):
Sm 0.0000 0.0000 0.0000  6 Ni 2.80
Ni 0.5000 0.5000 0.5000  6 Sm 2.80

Calculated values
E_form (meV/atom): -185.5
Uncorrected energy (eV per atom): -5.3249
Crystal system: cubic
Symmetry: Fm-3m, No. 225